4
Lattice="5.3365 0.0638 0.0028 2.2400 4.8441 0.0028 -0.0017 -0.0011 4.6349" Properties=species:S:1:pos:R:3 comment="K2NiTe (GGA-PBE, relaxed)" vol_a3_per_atom=29.8 e_form_raw_ev_per_atom=0.012 rho_g_cm3=3.69 sg="Cmmm (65)" pbc="T T T"
Te 1.1192 2.4215 2.3188
Ni 2.6674 0.0313 2.3188
K 0.0000 0.0000 0.0000
K 3.7883 2.4539 0.0028